# Ce3SiIr3 PBE-GGA optimized geometry
data_Ce3SiIr3
_chemical_formula_sum 'Ce12 Si4 Ir12'
_space_group_name_H-M_alt 'C 1 2/m 1'
_space_group_IT_number 12
_space_group_name_Hall '-C 2y'
_cell_length_a 10.516
_cell_length_b 4.037
_cell_length_c 14.634
_cell_angle_alpha 90.00
_cell_angle_beta 109.55
_cell_angle_gamma 90.00
loop_
_atom_site_label
_atom_site_fract_x
_atom_site_fract_y
_atom_site_fract_z
Ce1 0.012 0.000 0.380
Ce2 0.105 0.000 0.925
Ce3 0.241 0.000 0.224
Si1 0.232 0.500 0.388
Ir1 0.025 0.500 0.236
Ir2 0.130 0.500 0.075
Ir3 0.162 0.500 0.534
# VASP energy   -0.58359 Ry per atom
# Total magnetization   0.6 μB/f.u.